Density functional theory data (PBE-GGA) for crystalline NaDyZnS3 at its relaxed geometry.

Unit cell a=9.1185 b=9.1185 c=7.8408 alpha=103.85 beta=103.85 gamma=24.63
Closest atoms and distances in Å follow each position.
Sites, in units of the cell vectors:
Dy: 0.1731 0.1731 0.0880  6 S 2.67-2.99
Dy: 0.8269 0.8269 0.9121  6 S 2.67-2.99
Na: 0.8734 0.8734 0.4245  6 S 2.86-2.98
Na: 0.1266 0.1266 0.5755  6 S 2.86-2.98
S: 0.0000 0.0000 0.0000  4 Zn 2.62
S: 0.3274 0.3274 0.1510  3 Dy 2.67-2.70, 2 Na 2.86
S: 0.6648 0.6648 0.3213  1 Zn 2.32
S: 0.5000 0.5000 0.5000  2 Zn 2.30
S: 0.3352 0.3352 0.6787  1 Zn 2.32
S: 0.6726 0.6726 0.8490  3 Dy 2.67-2.70, 2 Na 2.86
Zn: 0.5307 0.5307 0.2311  2 S 2.30-2.32
Zn: 0.4693 0.4693 0.7689  2 S 2.30-2.32

Summary:
- E: -4.585 eV/atom
- Distance to the lowest polymorph of the same formula: 0.59 eV/f.u.
- Total magnetic moment: 0.0 μB per cell